A plane-wave DFT calculation with PBE-GGA was carried out for a relaxed OsSe2Br crystal.

Properties
N(E_F): 0.73 states/eV/atom
Calculated total energy: -4.483 eV per atom
Space-group type: Immm, No. 71
Total magnetic moment: 0.00 μB per formula unit
Calculated density: 8.400 g cm⁻³
ΔE_f (raw): 1.94 eV/f.u.

Unit cell a=6.3346 b=6.3346 c=6.3346 alpha=152.43 beta=133.67 gamma=54.76
Positions (direct):
1 Os 0.0000 0.0000 0.0000
2 Se 0.1799 0.6799 0.5000
3 Se 0.8201 0.3201 0.5000
4 Br 0.5000 0.5000 0.0000

---

A plane-wave DFT calculation with PBE-GGA was carried out for a relaxed OsSeBr2 crystal.

Properties
N(E_F): 0.49 states/eV/atom
Calculated total energy: -3.841 eV per atom
Space-group type: P4mm, No. 99
Total magnetic moment: 0.00 μB per formula unit
Calculated density: 7.703 g cm⁻³
ΔE_f (raw): 2.70 eV/f.u.

Unit cell a=3.4718 b=3.4718 c=7.6728 alpha=90.00 beta=90.00 gamma=90.00
Positions (direct):
1 Os 0.0000 0.0000 0.0000
2 Se 0.5000 0.5000 0.1183
3 Br 0.0000 0.0000 0.3409
4 Br 0.5000 0.5000 0.7354

---

A plane-wave DFT calculation with PBE-GGA was carried out for a relaxed OsSeBr crystal.

Properties
N(E_F): 0.81 states/eV/atom
Calculated total energy: -4.949 eV per atom
Space-group type: I4mm, No. 107
Total magnetic moment: 0.00 μB per formula unit
Calculated density: 8.818 g cm⁻³
ΔE_f (raw): 1.54 eV/f.u.

Unit cell a=7.2128 b=7.2128 c=7.2128 alpha=155.24 beta=155.24 gamma=35.30
Positions (direct):
1 Os 0.0000 0.0000 0.0000
2 Se 0.5960 0.5960 0.0000
3 Br 0.3552 0.3552 0.0000

---

A plane-wave DFT calculation with PBE-GGA was carried out for a relaxed OsSe4Br crystal.

Properties
N(E_F): 1.16 states/eV/atom
Calculated total energy: -3.162 eV per atom
Space-group type: F-43m, No. 216
Total magnetic moment: 4.02 μB per formula unit
Calculated density: 7.511 g cm⁻³
ΔE_f (raw): 7.87 eV/f.u.

Unit cell a=5.6795 b=5.6795 c=5.6795 alpha=60.00 beta=60.00 gamma=60.00
Positions (direct):
1 Os 0.0000 0.0000 0.0000
2 Se 0.1210 0.6263 0.6263
3 Se 0.6263 0.1210 0.6263
4 Se 0.6263 0.6263 0.1210
5 Se 0.6263 0.6263 0.6263
6 Br 0.2500 0.2500 0.2500

---

A plane-wave DFT calculation with PBE-GGA was carried out for a relaxed OsSe3Br crystal.

Properties
N(E_F): 1.01 states/eV/atom
Calculated total energy: -2.723 eV per atom
Space-group type: Pm-3m, No. 221
Total magnetic moment: 4.33 μB per formula unit
Calculated density: 6.369 g cm⁻³
ΔE_f (raw): 9.74 eV/f.u.

Unit cell a=5.0940 b=5.0940 c=5.0940 alpha=90.00 beta=90.00 gamma=90.00
Positions (direct):
1 Os 0.0000 0.0000 0.0000
2 Se 0.0000 0.5000 0.5000
3 Se 0.5000 0.0000 0.5000
4 Se 0.5000 0.5000 0.0000
5 Br 0.5000 0.5000 0.5000

---

A plane-wave DFT calculation with PBE-GGA was carried out for a relaxed OsSe2Br crystal.

Properties
N(E_F): 1.30 states/eV/atom
Calculated total energy: -4.512 eV per atom
Space-group type: R3m, No. 160
Total magnetic moment: 0.00 μB per formula unit
Calculated density: 7.701 g cm⁻³
ΔE_f (raw): 1.83 eV/f.u.

Unit cell a=10.2579 b=10.2579 c=10.2579 alpha=18.23 beta=18.23 gamma=18.23
Positions (direct):
1 Os 0.0000 0.0000 0.0000
2 Se 0.2818 0.2818 0.2818
3 Se 0.5207 0.5207 0.5207
4 Br 0.7320 0.7320 0.7320